Entry 1:
A plane-wave DFT calculation with PBE was carried out for crystalline HfFeTc2 at its relaxed geometry.

## Properties
* total magnetization: 2.12 μB per formula unit
* polymorph energy (0 for the lowest one): 11.19 kJ per mole of atoms
* energy of formation from the pure elements: 0.04 eV/atom
* raw total energy: -39.00 eV for the cell shown

Geometry as CIF:
```
data_HfFeTc2
_chemical_formula_sum 'Hf1 Fe1 Tc2'
_symmetry_space_group_name_H-M 'P 1'
_symmetry_Int_Tables_number 1
_symmetry_space_group_name_Hall 'P 1'
_cell_length_a 4.301
_cell_length_b 3.781
_cell_length_c 3.781
_cell_angle_alpha 90.00
_cell_angle_beta 90.00
_cell_angle_gamma 90.00
loop_
_atom_site_label
_atom_site_fract_x
_atom_site_fract_y
_atom_site_fract_z
Hf1 0.500 0.500 0.500
Tc1 0.000 0.000 0.500
Tc2 0.000 0.500 0.000
Fe1 0.500 0.000 0.000
```



Entry 2:
A plane-wave DFT calculation with PBE was carried out for crystalline AlCu4Pb at its relaxed geometry.

## Properties
* total magnetization: 0.00 μB per formula unit
* energy of formation from the pure elements: 0.09 eV/atom
* raw total energy: -23.28 eV for the cell shown

Geometry as CIF:
```
data_AlCu4Pb
_chemical_formula_sum 'Al1 Cu4 Pb1'
_symmetry_space_group_name_H-M 'P 1'
_symmetry_Int_Tables_number 1
_symmetry_space_group_name_Hall 'P 1'
_cell_length_a 5.053
_cell_length_b 5.053
_cell_length_c 5.053
_cell_angle_alpha 60.00
_cell_angle_beta 60.00
_cell_angle_gamma 60.00
loop_
_atom_site_label
_atom_site_fract_x
_atom_site_fract_y
_atom_site_fract_z
Al1 0.000 0.000 0.000
Cu1 0.878 0.374 0.374
Cu2 0.374 0.374 0.878
Cu3 0.374 0.878 0.374
Cu4 0.374 0.374 0.374
Pb1 0.750 0.750 0.750
```



Entry 3:
A plane-wave DFT calculation with PBE was carried out for crystalline Ac4Ir2O at its relaxed geometry.

## Properties
* total magnetization: 0.00 μB per formula unit
* polymorph energy (0 for the lowest one): 0.00 kJ per mole of atoms
* raw total energy: -94.53 eV for the cell shown

Geometry as CIF:
```
data_Ac4Ir2O
_chemical_formula_sum 'Ac8 Ir4 O2'
_symmetry_space_group_name_H-M 'P 1'
_symmetry_Int_Tables_number 1
_symmetry_space_group_name_Hall 'P 1'
_cell_length_a 4.403
_cell_length_b 9.859
_cell_length_c 11.359
_cell_angle_alpha 72.46
_cell_angle_beta 78.82
_cell_angle_gamma 77.10
loop_
_atom_site_label
_atom_site_fract_x
_atom_site_fract_y
_atom_site_fract_z
Ac1 0.242 0.147 0.368
Ac2 0.812 0.313 0.062
Ac3 0.059 0.142 0.740
Ac4 0.580 0.504 0.336
Ac5 0.420 0.496 0.664
Ac6 0.941 0.858 0.260
Ac7 0.188 0.687 0.938
Ac8 0.758 0.853 0.632
Ir1 0.611 0.219 0.559
Ir2 0.186 0.446 0.183
Ir3 0.814 0.554 0.817
Ir4 0.389 0.781 0.441
O1 0.823 0.106 0.249
O2 0.177 0.894 0.751
```



Entry 4:
A plane-wave DFT calculation with PBE was carried out for crystalline Ac3MgZn3 at its relaxed geometry.

## Properties
* total magnetization: 0.00 μB per formula unit
* energy of formation from the pure elements: -0.20 eV/atom
* raw total energy: -38.25 eV for the cell shown

Geometry as CIF:
```
data_Ac3MgZn3
_chemical_formula_sum 'Ac6 Mg2 Zn6'
_symmetry_space_group_name_H-M 'P 1'
_symmetry_Int_Tables_number 1
_symmetry_space_group_name_Hall 'P 1'
_cell_length_a 4.165
_cell_length_b 7.021
_cell_length_c 14.976
_cell_angle_alpha 84.73
_cell_angle_beta 82.01
_cell_angle_gamma 72.75
loop_
_atom_site_label
_atom_site_fract_x
_atom_site_fract_y
_atom_site_fract_z
Ac1 0.502 0.363 0.633
Ac2 0.498 0.637 0.367
Ac3 0.262 0.249 0.227
Ac4 0.738 0.751 0.773
Ac5 0.384 0.313 0.920
Ac6 0.616 0.687 0.080
Mg1 0.764 0.055 0.418
Mg2 0.236 0.945 0.582
Zn1 0.884 0.694 0.539
Zn2 0.116 0.306 0.461
Zn3 0.090 0.892 0.928
Zn4 0.910 0.108 0.072
Zn5 0.950 0.870 0.230
Zn6 0.050 0.130 0.770
```



Entry 5:
A plane-wave DFT calculation with PBE was carried out for crystalline ZrMnFe2 at its relaxed geometry.

## Properties
* total magnetization: 5.03 μB per formula unit
* energy of formation from the pure elements: 0.42 eV/atom
* raw total energy: -32.96 eV for the cell shown

Geometry as CIF:
```
data_ZrMnFe2
_chemical_formula_sum 'Zr1 Mn1 Fe2'
_symmetry_space_group_name_H-M 'P 1'
_symmetry_Int_Tables_number 1
_symmetry_space_group_name_Hall 'P 1'
_cell_length_a 8.638
_cell_length_b 8.638
_cell_length_c 8.638
_cell_angle_alpha 18.44
_cell_angle_beta 18.44
_cell_angle_gamma 18.44
loop_
_atom_site_label
_atom_site_fract_x
_atom_site_fract_y
_atom_site_fract_z
Fe1 0.989 0.989 0.989
Fe2 0.511 0.511 0.511
Mn1 0.250 0.250 0.250
Zr1 0.750 0.750 0.750
```



Entry 6:
A plane-wave DFT calculation with PBE was carried out for crystalline AsRhPb2 at its relaxed geometry.

## Properties
* total magnetization: 0.00 μB per formula unit
* energy of formation from the pure elements: 0.24 eV/atom
* raw total energy: -18.44 eV for the cell shown

Geometry as CIF:
```
data_AsRhPb2
_chemical_formula_sum 'As1 Rh1 Pb2'
_symmetry_space_group_name_H-M 'P 1'
_symmetry_Int_Tables_number 1
_symmetry_space_group_name_Hall 'P 1'
_cell_length_a 5.347
_cell_length_b 5.347
_cell_length_c 5.347
_cell_angle_alpha 128.98
_cell_angle_beta 128.98
_cell_angle_gamma 75.04
loop_
_atom_site_label
_atom_site_fract_x
_atom_site_fract_y
_atom_site_fract_z
Pb1 0.000 0.000 0.000
Pb2 0.500 0.500 0.000
As1 0.750 0.250 0.500
Rh1 0.250 0.750 0.500
```